(a)
Here is Cu3SbS at its PBEsol-relaxed geometry from Alexandria via LeMat-Bulk. Energies are from SCAN.

Cell lengths 4.392, 4.392, 4.392 Å; angles 90.00, 90.00, 90.00 degrees
Fractional coordinates of all 5 atoms:
Cu 0.000 0.000 0.500
Cu 0.500 0.000 0.000
Cu 0.000 0.500 0.000
Sb 0.500 0.500 0.500
S 0.000 0.000 0.000

(b)
Here is Cu3SbS at its PBEsol-relaxed geometry from Alexandria via LeMat-Bulk. Energies are from SCAN.

Cell lengths 4.745, 4.745, 4.745 Å; angles 90.00, 90.00, 90.00 degrees
Fractional coordinates of all 5 atoms:
Cu 0.500 0.000 0.000
Cu 0.000 0.500 0.000
Cu 0.000 0.000 0.500
S 0.500 0.500 0.500
Sb 0.000 0.000 0.000

Least stable of them? (b).

(a)
Here is CuTe2S at its PBEsol-relaxed geometry from Alexandria via LeMat-Bulk. Energies are from SCAN.

Cell lengths 3.404, 3.404, 9.257 Å; angles 79.40, 79.40, 60.00 degrees
Fractional coordinates of all 4 atoms:
S 0.500 0.500 0.500
Cu 0.000 0.000 0.000
Te 0.091 0.091 0.727
Te 0.909 0.909 0.273

(b)
Here is CuTe2S at its PBEsol-relaxed geometry from Alexandria via LeMat-Bulk. Energies are from SCAN.

Cell lengths 4.804, 4.804, 4.804 Å; angles 60.00, 60.00, 60.00 degrees
Fractional coordinates of all 4 atoms:
Cu 0.500 0.500 0.500
Te 0.750 0.750 0.750
Te 0.250 0.250 0.250
S 0.000 0.000 0.000

Least stable of them? (a).